The following is a PBE-GGA calculation of FeTe2P after structural relaxation, from Alexandria via LeMat-Bulk.

POSCAR file:
```
FeTe2P
1.0
-2.210 -1.696 -1.911
2.422 -0.600 -2.278
1.638 -5.827 3.277
Fe P Te
1 1 2
Cartesian
0.515 -2.605 -1.275
1.334 -5.518 0.363
0.029 -0.103 0.058
0.790 -2.810 1.580
```

Values from the calculation:
- Raw formation energy: 0.553 eV per atom
- Raw total energy: -4.486 eV per atom
- N(E_F): 0.811 states/eV/atom
- Space-group type: Cmmm, No. 65